1.
ThTiC2: relaxed, GGA-PBE.

Cell: 6.0188 6.0188 6.0188 Å, 33.07 33.07 33.07°
Element x y z (fractional)
Th  0.0000  0.0000  0.0000
Ti  0.5000  0.5000  0.5000
C  0.2355  0.2355  0.2355
C  0.7645  0.7645  0.7645

Calculated values
total energy: -8.68 eV per atom
energy of formation: -92 kJ/mol of formula units
energy relative to the lowest polymorph listed for this composition: 0.82 eV per formula unit
D(E_F): 1.36 states/eV per cell

---

2.
Th2TiC: relaxed, GGA-PBE.

Cell: 9.4594 9.4594 9.4594 Å, 21.16 21.16 21.16°
Element x y z (fractional)
Th  0.1112  0.1112  0.1112
Th  0.8888  0.8888  0.8888
Ti  0.0000  0.0000  0.0000
C  0.5000  0.5000  0.5000

Calculated values
total energy: -7.70 eV per atom
energy of formation: 111 kJ/mol of formula units
D(E_F): 5.19 states/eV per cell

---

3.
ThTiC2: relaxed, GGA-PBE.

Cell: 5.8242 3.6280 11.1286 Å, 90.00 90.00 90.00°
Element x y z (fractional)
Th  0.0890  0.2500  0.1441
Th  0.4110  0.7500  0.6441
Th  0.5890  0.2500  0.3559
Th  0.9110  0.7500  0.8559
Ti  0.0857  0.7500  0.3976
Ti  0.4143  0.2500  0.8976
Ti  0.5857  0.7500  0.1024
Ti  0.9143  0.2500  0.6024
C  0.1461  0.2500  0.7502
C  0.2081  0.2500  0.4763
C  0.2919  0.7500  0.9763
C  0.3539  0.7500  0.2502
C  0.6461  0.2500  0.7498
C  0.7081  0.2500  0.0237
C  0.7919  0.7500  0.5237
C  0.8539  0.7500  0.2498

Calculated values
total energy: -8.88 eV per atom
energy of formation: -171 kJ/mol of formula units
energy relative to the lowest polymorph listed for this composition: 0.00 eV per formula unit
D(E_F): 4.63 states/eV per cell

---

4.
Th6Tl3C: relaxed, GGA-PBE.

Cell: 6.5248 8.6175 12.1086 Å, 90.00 118.75 90.00°
Element x y z (fractional)
Th  0.0762  0.0578  0.2239
Th  0.0762  0.4422  0.7239
Th  0.1678  0.7308  0.0589
Th  0.1678  0.7692  0.5589
Th  0.3870  0.1441  0.0459
Th  0.3870  0.3559  0.5459
Th  0.6130  0.6441  0.4541
Th  0.6130  0.8559  0.9541
Th  0.8322  0.2308  0.4411
Th  0.8322  0.2692  0.9411
Th  0.9238  0.5578  0.2761
Th  0.9238  0.9422  0.7761
Tl  0.3319  0.1035  0.7306
Tl  0.3319  0.3965  0.2306
Tl  0.5000  0.0000  0.5000
Tl  0.5000  0.5000  0.0000
Tl  0.6681  0.6035  0.7694
Tl  0.6681  0.8965  0.2694
C  0.0000  0.0000  0.0000
C  0.0000  0.5000  0.5000

Calculated values
total energy: -6.16 eV per atom
energy of formation: -70 kJ/mol of formula units
D(E_F): 22.51 states/eV per cell

---

5.
Th4TlC2: relaxed, GGA-PBE.

Cell: 14.9930 14.9930 14.9930 Å, 14.15 14.15 14.15°
Element x y z (fractional)
Th  0.1280  0.1280  0.1280
Th  0.2707  0.2707  0.2707
Th  0.7293  0.7293  0.7293
Th  0.8720  0.8720  0.8720
Tl  0.0000  0.0000  0.0000
C  0.4291  0.4291  0.4291
C  0.5709  0.5709  0.5709

Calculated values
total energy: -7.46 eV per atom
energy of formation: -168 kJ/mol of formula units
D(E_F): 7.53 states/eV per cell

---

6.
Th2TlC: relaxed, GGA-PBE.

Cell: 8.6948 8.6948 8.6948 Å, 24.84 24.84 24.84°
Element x y z (fractional)
Th  0.2237  0.2237  0.2237
Th  0.7763  0.7763  0.7763
Tl  0.0000  0.0000  0.0000
C  0.5000  0.5000  0.5000

Calculated values
total energy: -6.91 eV per atom
energy of formation: -116 kJ/mol of formula units
D(E_F): 3.86 states/eV per cell

---

7.
Th2TlC: relaxed, GGA-PBE.

Cell: 8.7581 8.7581 8.7581 Å, 24.45 24.45 24.45°
Element x y z (fractional)
Th  0.0000  0.0000  0.0000
Th  0.2197  0.2197  0.2197
Tl  0.7763  0.7763  0.7763
C  0.6092  0.6092  0.6092

Calculated values
total energy: -6.91 eV per atom
energy of formation: -116 kJ/mol of formula units
D(E_F): 3.98 states/eV per cell

---

8.
Th6Tl2C: relaxed, GGA-PBE.

Cell: 6.4863 8.4120 11.4348 Å, 90.00 120.69 90.00°
Element x y z (fractional)
Th  0.1188  0.1549  0.4645
Th  0.1188  0.3451  0.9645
Th  0.3168  0.7259  0.4507
Th  0.3168  0.7741  0.9507
Th  0.3580  0.0306  0.2434
Th  0.3580  0.4694  0.7434
Th  0.6420  0.5306  0.2566
Th  0.6420  0.9694  0.7566
Th  0.6832  0.2259  0.0493
Th  0.6832  0.2741  0.5493
Th  0.8812  0.6549  0.0355
Th  0.8812  0.8451  0.5355
Tl  0.1825  0.1021  0.7720
Tl  0.1825  0.3979  0.2720
Tl  0.8175  0.6021  0.7280
Tl  0.8175  0.8979  0.2280
C  0.5000  0.0000  0.5000
C  0.5000  0.5000  0.0000

Calculated values
total energy: -6.54 eV per atom
energy of formation: -39 kJ/mol of formula units
energy relative to the lowest polymorph listed for this composition: 0.45 eV per formula unit
D(E_F): 22.30 states/eV per cell

---

9.
Th6Tl2C: relaxed, GGA-PBE.

Cell: 7.1183 7.1183 7.1183 Å, 120.10 120.10 89.83°
Element x y z (fractional)
Th  0.2504  0.2504  0.0000
Th  0.2502  0.2502  0.5004
Th  0.2502  0.7498  0.0000
Th  0.7498  0.2502  0.0000
Th  0.7496  0.7496  0.0000
Th  0.7498  0.7498  0.4996
Tl  0.2500  0.7500  0.5000
Tl  0.7500  0.2500  0.5000
C  0.0000  0.0000  0.0000

Calculated values
total energy: -6.59 eV per atom
energy of formation: -82 kJ/mol of formula units
energy relative to the lowest polymorph listed for this composition: 0.00 eV per formula unit
D(E_F): 11.57 states/eV per cell

---

10.
Th3TlC2: relaxed, GGA-PBE.

Cell: 6.9830 6.9830 4.9940 Å, 108.57 108.57 40.18°
Element x y z (fractional)
Th  0.0000  0.0000  0.0000
Th  0.2487  0.2487  0.7366
Th  0.7513  0.7513  0.2634
Tl  0.5000  0.5000  0.5000
C  0.1950  0.1950  0.1600
C  0.8050  0.8050  0.8400

Calculated values
total energy: -7.35 eV per atom
energy of formation: -100 kJ/mol of formula units
D(E_F): 3.91 states/eV per cell

---

11.
Th8Tl2C3: relaxed, GGA-PBE.

Cell: 8.7343 8.7343 6.5695 Å, 102.27 102.27 49.61°
Element x y z (fractional)
Th  0.0966  0.0966  0.8883
Th  0.1635  0.6641  0.6206
Th  0.3359  0.8365  0.3794
Th  0.3990  0.3990  0.0576
Th  0.6010  0.6010  0.9424
Th  0.6641  0.1635  0.6206
Th  0.8365  0.3359  0.3794
Th  0.9034  0.9034  0.1117
Tl  0.2518  0.2518  0.3382
Tl  0.7482  0.7482  0.6618
C  0.0000  0.0000  0.5000
C  0.2401  0.7599  0.0000
C  0.7599  0.2401  0.0000

Calculated values
total energy: -7.16 eV per atom
energy of formation: -128 kJ/mol of formula units
D(E_F): 10.05 states/eV per cell

---

12.
Th3TlC2: relaxed, GGA-PBE.

Cell: 6.5107 3.6877 11.3065 Å, 90.00 90.00 90.00°
Element x y z (fractional)
Th  0.0000  0.0000  0.0000
Th  0.0071  0.5000  0.2727
Th  0.4929  0.5000  0.2727
Th  0.5000  0.0000  0.0000
Th  0.5071  0.5000  0.7273
Th  0.9929  0.5000  0.7273
Tl  0.2500  0.0000  0.5150
Tl  0.7500  0.0000  0.4850
C  0.2500  0.0000  0.1906
C  0.2500  0.5000  0.8927
C  0.7500  0.0000  0.8094
C  0.7500  0.5000  0.1073

Calculated values
total energy: -7.27 eV per atom
energy of formation: -50 kJ/mol of formula units
D(E_F): 4.88 states/eV per cell